1.
# LiMnNbOs

An optimized crystal structure of LiMnNbOs (PBE, Alexandria).

Output
M_tot = 13.7 Bohr magnetons per cell
Energy of formation = 0.32 eV/f.u.

Geometry as CIF:
```
data_LiMnNbOs
_symmetry_space_group_name_H-M 'F -4 3 m'
_symmetry_Int_Tables_number 216
_symmetry_space_group_name_Hall 'F -4 2 3'
_cell_length_a 6.199
_cell_length_b 6.199
_cell_length_c 6.199
_cell_angle_alpha 90.00
_cell_angle_beta 90.00
_cell_angle_gamma 90.00
loop_
_atom_site_label
_atom_site_type_symbol
_atom_site_fract_x
_atom_site_fract_y
_atom_site_fract_z
_atom_site_occupancy
Li1 Li 0.000 0.000 0.000 1
Mn1 Mn 0.250 0.250 0.750 1
Nb1 Nb 0.250 0.250 0.250 1
Os1 Os 0.000 0.000 0.500 1
```

***

2.
# LiMnNb2P

An optimized crystal structure of LiMnNb2P (PBE, Alexandria).

Output
M_tot = 0.1 Bohr magnetons per cell
Energy of formation = 4.43 eV/f.u.

Geometry as CIF:
```
data_LiMnNb2P
_symmetry_space_group_name_H-M 'P 4/m m m'
_symmetry_Int_Tables_number 123
_symmetry_space_group_name_Hall '-P 4 2'
_cell_length_a 4.395
_cell_length_b 4.395
_cell_length_c 3.790
_cell_angle_alpha 90.00
_cell_angle_beta 90.00
_cell_angle_gamma 90.00
loop_
_atom_site_label
_atom_site_type_symbol
_atom_site_fract_x
_atom_site_fract_y
_atom_site_fract_z
_atom_site_occupancy
Li1 Li 0.000 0.000 0.000 1
Mn1 Mn 0.500 0.500 0.500 1
Nb1 Nb 0.000 0.500 0.000 1
P1 P 0.000 0.000 0.500 1
```

***

3.
# Li2MnNb2S6

An optimized crystal structure of Li2MnNb2S6 (PBE, Alexandria).

Output
M_tot = 2.2 Bohr magnetons per cell
Formation energy (no corrections) = -10.95 eV per formula unit

Geometry as CIF:
```
data_Li2MnNb2S6
_symmetry_space_group_name_H-M 'C 1 2/m 1'
_symmetry_Int_Tables_number 12
_cell_length_a 5.774
_cell_length_b 10.379
_cell_length_c 6.638
_cell_angle_alpha 90.00
_cell_angle_beta 105.37
_cell_angle_gamma 90.00
loop_
_symmetry_equiv_pos_as_xyz
'x,y,z'
'-x,-y,-z'
'-x,y,-z'
'x,-y,z'
'x+1/2,y+1/2,z'
'-x+1/2,-y+1/2,-z'
'-x+1/2,y+1/2,-z'
'x+1/2,-y+1/2,z'
loop_
_atom_site_label
_atom_site_type_symbol
_atom_site_fract_x
_atom_site_fract_y
_atom_site_fract_z
_atom_site_occupancy
Li1 Li 0.000 0.178 0.000 1
Mn1 Mn 0.000 0.000 0.500 1
Nb1 Nb 0.000 0.361 0.500 1
S1 S 0.220 0.164 0.719 1
S2 S 0.231 0.000 0.248 1
```